# 1
LiTi2V GGA-PBE relaxed; energy above the most stable polymorph in this dataset = 0.000 eV/f.u.; total DFT energy (no corrections) = -6.417 eV per atom
1.0
3.135 -1.875 2.539
-1.016 -3.475 2.586
1.549 -4.048 -1.004
Ti Li V
2 1 1
Direct
0.250 0.250 0.250
0.750 0.750 0.750
0.000 0.000 0.000
0.500 0.500 0.500

---

# 2
Li2TiW GGA-PBE relaxed; energy above the most stable polymorph in this dataset = 0.000 eV/f.u.; total DFT energy (no corrections) = -5.432 eV per atom
1.0
0.000 3.045 3.045
3.045 0.000 3.045
3.045 3.045 0.000
W Li Ti
1 2 1
Direct
0.500 0.500 0.500
0.250 0.250 0.250
0.750 0.750 0.750
0.000 0.000 0.000

---

# 3
LiTiW3 GGA-PBE relaxed; energy above the most stable polymorph in this dataset = 0.000 eV/f.u.; total DFT energy (no corrections) = -8.405 eV per atom
1.0
4.276 0.000 0.000
0.000 4.276 0.000
0.000 0.000 4.276
W Ti Li
3 1 1
Direct
0.000 0.000 0.500
0.500 0.000 0.000
0.000 0.500 0.000
0.500 0.500 0.500
0.000 0.000 0.000

---

# 4
LiTiW3 GGA-PBE relaxed; energy above the most stable polymorph in this dataset = 2.840 eV/f.u.; total DFT energy (no corrections) = -7.837 eV per atom
1.0
-0.570 -2.899 -3.543
4.287 0.915 -1.438
1.606 -3.470 2.581
W Li Ti
3 1 1
Direct
0.000 0.000 0.500
0.000 0.500 0.000
0.500 0.000 0.000
0.500 0.500 0.500
0.000 0.000 0.000

---

# 5
Li2TiW GGA-PBE relaxed; energy above the most stable polymorph in this dataset = 0.410 eV/f.u.; total DFT energy (no corrections) = -5.329 eV per atom
1.0
7.082 0.000 0.000
0.000 7.082 0.000
3.541 3.541 2.424
Ti Li W
2 4 2
Direct
0.500 0.500 0.000
0.250 0.750 0.500
0.875 0.870 0.750
0.375 0.380 0.750
0.620 0.125 0.250
0.130 0.625 0.250
0.000 0.000 0.000
0.750 0.250 0.500

---

# 6
Li2YTi GGA-PBE relaxed; energy above the most stable polymorph in this dataset = 0.000 eV/f.u.; total DFT energy (no corrections) = -4.181 eV per atom
1.0
-1.637 3.729 2.758
-0.312 4.521 -1.912
-4.406 1.985 -0.914
Y Li Ti
1 2 1
Direct
0.500 0.500 0.500
0.750 0.750 0.750
0.250 0.250 0.250
0.000 0.000 0.000

---

# 7
LiYTi GGA-PBE relaxed; energy above the most stable polymorph in this dataset = 0.612 eV/f.u.; total DFT energy (no corrections) = -5.127 eV per atom
1.0
-3.264 0.375 -0.676
-0.927 -0.942 3.950
0.602 9.657 2.444
Li Y Ti
2 2 2
Direct
0.500 0.000 0.283
0.000 0.500 0.426
0.500 0.000 0.631
0.500 0.000 0.965
0.000 0.500 0.814
0.000 0.500 0.119

---

# 8
LiYTi GGA-PBE relaxed; energy above the most stable polymorph in this dataset = 1.286 eV/f.u.; total DFT energy (no corrections) = -4.903 eV per atom
1.0
-4.776 -0.647 2.184
1.898 -3.641 -3.338
2.452 -2.861 4.516
Li Ti Y
2 2 2
Direct
0.000 0.000 0.000
0.000 0.000 0.500
0.333 0.667 0.250
0.667 0.333 0.750
0.333 0.667 0.750
0.667 0.333 0.250

---

# 9
LiYTi GGA-PBE relaxed; energy above the most stable polymorph in this dataset = 1.359 eV/f.u.; total DFT energy (no corrections) = -4.878 eV per atom
1.0
4.526 -2.613 0.000
0.000 5.226 0.000
0.000 0.000 2.955
Li Ti Y
1 1 1
Direct
0.667 0.333 0.500
0.333 0.667 0.000
0.000 0.000 0.000

---

# 10
LiY3Ti GGA-PBE relaxed; energy above the most stable polymorph in this dataset = 1.169 eV/f.u.; total DFT energy (no corrections) = -5.087 eV per atom
1.0
5.253 0.000 0.000
0.000 5.253 0.000
0.000 0.000 5.253
Y Li Ti
3 1 1
Direct
0.000 0.500 0.000
0.500 0.000 0.000
0.000 0.000 0.500
0.000 0.000 0.000
0.500 0.500 0.500

---

# 11
LiYTi GGA-PBE relaxed; energy above the most stable polymorph in this dataset = 0.555 eV/f.u.; total DFT energy (no corrections) = -5.146 eV per atom
1.0
-1.016 -7.674 1.472
3.140 -0.311 0.548
-0.612 2.447 4.895
Li Y Ti
2 2 2
Direct
0.640 0.000 0.871
0.347 0.500 0.773
0.601 0.500 0.355
0.994 0.000 0.679
0.945 0.500 0.174
0.236 0.000 0.255

---

# 12
Li3YTi GGA-PBE relaxed; energy above the most stable polymorph in this dataset = 2.528 eV/f.u.; total DFT energy (no corrections) = -2.698 eV per atom
1.0
4.951 0.000 0.000
0.000 4.951 0.000
0.000 0.000 4.951
Ti Y Li
1 1 3
Direct
0.500 0.500 0.500
0.000 0.000 0.000
0.000 0.500 0.000
0.500 0.000 0.000
0.000 0.000 0.500

---

# 13
LiYTi GGA-PBE relaxed; energy above the most stable polymorph in this dataset = 1.085 eV/f.u.; total DFT energy (no corrections) = -4.970 eV per atom
1.0
8.495 0.000 0.000
0.000 6.574 0.000
0.000 0.000 4.912
Ti Y Li
4 4 4
Direct
0.833 0.250 0.500
0.167 0.750 0.500
0.667 0.750 0.000
0.333 0.250 0.000
0.000 0.500 0.000
0.000 0.000 0.000
0.500 0.500 0.500
0.500 0.000 0.500
0.667 0.250 0.000
0.333 0.750 0.000
0.833 0.750 0.500
0.167 0.250 0.500

---

# 14
LiYTi GGA-PBE relaxed; energy above the most stable polymorph in this dataset = 0.590 eV/f.u.; total DFT energy (no corrections) = -5.135 eV per atom
1.0
3.577 0.005 -0.007
1.780 5.934 -0.210
0.013 -0.338 6.449
Y Ti Li
2 2 2
Direct
0.589 0.669 0.837
0.960 0.926 0.284
0.676 0.495 0.292
0.287 0.273 0.047
0.878 0.091 0.755
0.268 0.311 0.547

---

# 15
LiYTi3 GGA-PBE relaxed; energy above the most stable polymorph in this dataset = 0.000 eV/f.u.; total DFT energy (no corrections) = -5.666 eV per atom
1.0
4.668 0.000 0.000
0.000 4.668 0.000
0.000 0.000 4.668
Y Ti Li
1 3 1
Direct
0.500 0.500 0.500
0.000 0.500 0.000
0.500 0.000 0.000
0.000 0.000 0.500
0.000 0.000 0.000

---

# 16
LiYTi GGA-PBE relaxed; energy above the most stable polymorph in this dataset = 0.208 eV/f.u.; total DFT energy (no corrections) = -5.262 eV per atom
1.0
-7.633 3.966 -2.984
0.766 -1.824 -4.384
-1.566 -2.651 0.829
Y Ti Li
2 2 2
Direct
0.231 0.250 0.526
0.769 0.750 0.474
0.059 0.750 0.004
0.941 0.250 0.996
0.590 0.250 0.919
0.410 0.750 0.081

---

# 17
LiYTi GGA-PBE relaxed; energy above the most stable polymorph in this dataset = 1.785 eV/f.u.; total DFT energy (no corrections) = -4.736 eV per atom
1.0
4.421 0.000 0.000
0.000 4.421 0.000
0.000 0.000 7.461
Ti Y Li
2 2 2
Direct
0.500 0.000 0.171
0.000 0.500 0.829
0.500 0.500 0.500
0.000 0.000 0.500
0.500 0.000 0.808
0.000 0.500 0.192

---

# 18
LiYTi3 GGA-PBE relaxed; energy above the most stable polymorph in this dataset = 3.649 eV/f.u.; total DFT energy (no corrections) = -4.936 eV per atom
1.0
-1.108 -3.081 3.787
3.857 1.828 2.615
-2.993 3.496 1.969
Li Ti Y
1 3 1
Direct
0.500 0.500 0.500
0.500 0.000 0.000
0.000 0.500 0.000
0.000 0.000 0.500
0.000 0.000 0.000

---

# 19
LiYTi GGA-PBE relaxed; energy above the most stable polymorph in this dataset = 2.795 eV/f.u.; total DFT energy (no corrections) = -4.400 eV per atom
1.0
0.677 0.447 4.869
-2.867 -2.518 3.132
1.879 -3.762 2.586
Y Li Ti
1 1 1
Direct
0.750 0.750 0.750
0.250 0.250 0.250
0.500 0.500 0.500

---

# 20
LiYTi GGA-PBE relaxed; energy above the most stable polymorph in this dataset = 3.273 eV/f.u.; total DFT energy (no corrections) = -4.240 eV per atom
1.0
0.868 -3.401 -3.564
1.282 -4.669 1.257
-3.226 -3.757 -0.711
Li Y Ti
1 1 1
Direct
0.250 0.250 0.250
0.000 0.000 0.000
0.750 0.750 0.750

---

| no. | DOS at the Fermi energy (states/eV/atom) |
| --- | --- |
| 1 | 1.425 |
| 2 | 0.888 |
| 3 | 1.283 |
| 4 | 0.870 |
| 5 | 0.605 |
| 6 | 0.811 |
| 7 | 1.196 |
| 8 | 1.176 |
| 9 | 1.836 |
| 10 | 1.460 |
| 11 | 0.986 |
| 12 | 0.900 |
| 13 | 1.118 |
| 14 | 0.933 |
| 15 | 1.764 |
| 16 | 0.554 |
| 17 | 1.064 |
| 18 | 1.771 |
| 19 | 2.106 |
| 20 | 2.498 |